This record from Alexandria via LeMat-Bulk describes a geometry-optimized NaInPS2 structure. The functional is PBE-GGA.

Cell lengths 5.1689, 5.1689, 5.0915 Å; angles 90.00, 90.00, 90.00 degrees
With the nearest neighbours (Å) after each atom.
Space group P4/mmm (No. 123)
Inequivalent atoms, fractional coordinates:
Na: 0.0000 0.0000 0.0000 (multiplicity 1)  8 S 3.63, 4 P 3.65
In: 0.5000 0.5000 0.5000 (multiplicity 1)  2 P 2.55, 4 S 2.58
P: 0.5000 0.5000 0.0000 (multiplicity 1)  2 In 2.55
S: 0.0000 0.5000 0.5000 (multiplicity 2)  2 In 2.58

M_tot (Bohr magnetons per cell): 1.55
E (eV/atom): -3.293
Polymorph energy (0 for the lowest one) (eV per atom): 0.000
Formation energy (no corrections) (eV per atom): 0.25